# 1
Density functional theory data (PBE) for an optimized crystal structure of Na3NdHo2Se6.

Its formation energy from raw total energies is -1.696 eV per atom. The density of states at the Fermi level comes out at 0.000 states/eV/atom. The size of the total moment is 0.00 μB/atom.

```
data_Na3NdHo2Se6
_space_group_name_H-M_alt 'C 1 2/m 1'
_space_group_IT_number 12
_cell_length_a 7.243
_cell_length_b 12.547
_cell_length_c 7.416
_cell_angle_alpha 90.00
_cell_angle_beta 109.03
_cell_angle_gamma 90.00
loop_
_space_group_symop_operation_xyz
'x,y,z'
'-x,-y,-z'
'-x,y,-z'
'x,-y,z'
'x+1/2,y+1/2,z'
'-x+1/2,-y+1/2,-z'
'-x+1/2,y+1/2,-z'
'x+1/2,-y+1/2,z'
loop_
_atom_site_label
_atom_site_fract_x
_atom_site_fract_y
_atom_site_fract_z
_atom_site_occupancy
Na1 0.000 0.000 0.000 1
Na2 0.000 0.335 0.000 1
Nd1 0.000 0.500 0.500 1
Ho1 0.000 0.167 0.500 1
Se1 0.235 0.000 0.731 1
Se2 0.248 0.329 0.731 1
```

# 2
Density functional theory data (PBE) for an optimized crystal structure of BaTlTeN2.

Its formation energy from raw total energies is 1.344 eV per atom. The density of states at the Fermi level comes out at 1.477 states/eV/atom. The size of the total moment is 0.37 μB/atom.

```
data_BaTlTeN2
_space_group_name_H-M_alt 'P 4/m m m'
_space_group_IT_number 123
_space_group_name_Hall '-P 4 2'
_cell_length_a 5.173
_cell_length_b 5.173
_cell_length_c 7.093
_cell_angle_alpha 90.00
_cell_angle_beta 90.00
_cell_angle_gamma 90.00
loop_
_atom_site_label
_atom_site_fract_x
_atom_site_fract_y
_atom_site_fract_z
_atom_site_occupancy
Ba1 0.000 0.000 0.000 1
Tl1 0.500 0.500 0.500 1
Te1 0.000 0.000 0.500 1
N1 0.000 0.500 0.000 1
```

# 3
Density functional theory data (PBE) for an optimized crystal structure of Ca3Ge2Au9.

The value obtained for the energy of formation is -452 meV per atom. The density of states at the Fermi level comes out at 0.330 states/eV/atom. The size of the total moment is 0.00 μB/atom.

```
data_Ca3Ge2Au9
_space_group_name_H-M_alt 'I m m m'
_space_group_IT_number 71
_space_group_name_Hall '-I 2 2'
_cell_length_a 4.326
_cell_length_b 10.795
_cell_length_c 12.871
_cell_angle_alpha 90.00
_cell_angle_beta 90.00
_cell_angle_gamma 90.00
loop_
_atom_site_label
_atom_site_fract_x
_atom_site_fract_y
_atom_site_fract_z
_atom_site_occupancy
Ca1 0.000 0.000 0.000 1
Ca2 0.000 0.000 0.301 1
Ge1 0.000 0.196 0.500 1
Au1 0.000 0.292 0.137 1
Au2 0.000 0.375 0.350 1
Au3 0.000 0.500 0.000 1
```